(1)
Material: Zr2TlPt2
Method: DFT, PBEsol
State: relaxed

Properties
D(E_F): 6.20 states/eV/cell
DFT total energy: -7.514 eV per atom
Energy of formation: -0.566 eV per atom
Total magnetic moment: 0.00 μB per formula unit

The structure in CIF format:
```
data_Zr2TlPt2
_chemical_formula_sum 'Zr4 Tl2 Pt4'
_cell_length_a 4.6252
_cell_length_b 4.6252
_cell_length_c 10.2302
_cell_angle_alpha 90.00
_cell_angle_beta 90.00
_cell_angle_gamma 90.00
_symmetry_space_group_name_H-M 'I 4/m m m'
_symmetry_Int_Tables_number 139
_symmetry_space_group_name_Hall '-I 4 2'
loop_
_atom_site_label
_atom_site_type_symbol
_atom_site_fract_x
_atom_site_fract_y
_atom_site_fract_z
Zr1 Zr 0.0000 0.5000 0.2500
Tl1 Tl 0.0000 0.0000 0.0000
Pt1 Pt 0.0000 0.0000 0.3762
```

---

(2)
Material: Ni3BiIr
Method: DFT, PBEsol
State: relaxed

Properties
D(E_F): 6.56 states/eV/cell
DFT total energy: -5.511 eV per atom
Energy of formation: 1.006 eV per atom
Total magnetic moment: 1.97 μB per formula unit

The structure in CIF format:
```
data_Ni3BiIr
_chemical_formula_sum 'Ni3 Bi1 Ir1'
_cell_length_a 4.5080
_cell_length_b 4.5080
_cell_length_c 4.5080
_cell_angle_alpha 90.00
_cell_angle_beta 90.00
_cell_angle_gamma 90.00
_symmetry_space_group_name_H-M 'P m -3 m'
_symmetry_Int_Tables_number 221
_symmetry_space_group_name_Hall '-P 4 2 3'
loop_
_atom_site_label
_atom_site_type_symbol
_atom_site_fract_x
_atom_site_fract_y
_atom_site_fract_z
Ni1 Ni 0.0000 0.0000 0.5000
Bi1 Bi 0.5000 0.5000 0.5000
Ir1 Ir 0.0000 0.0000 0.0000
```

---

(3)
Material: Al4Pb
Method: DFT, PBEsol
State: relaxed

Properties
D(E_F): 6.32 states/eV/cell
DFT total energy: -3.236 eV per atom
Energy of formation: 0.837 eV per atom
Total magnetic moment: 0.00 μB per formula unit

The structure in CIF format:
```
data_Al4Pb
_chemical_formula_sum 'Al8 Pb2'
_cell_length_a 6.4034
_cell_length_b 6.4034
_cell_length_c 6.4034
_cell_angle_alpha 90.00
_cell_angle_beta 90.00
_cell_angle_gamma 90.00
_symmetry_space_group_name_H-M 'I m -3 m'
_symmetry_Int_Tables_number 229
_symmetry_space_group_name_Hall '-I 4 2 3'
loop_
_atom_site_label
_atom_site_type_symbol
_atom_site_fract_x
_atom_site_fract_y
_atom_site_fract_z
Al1 Al 0.2500 0.2500 0.2500
Pb1 Pb 0.0000 0.0000 0.0000
```

---

(4)
Material: SrCrNi
Method: DFT, PBEsol
State: relaxed

Properties
D(E_F): 13.29 states/eV/cell
DFT total energy: -5.238 eV per atom
Energy of formation: 0.842 eV per atom
Total magnetic moment: 4.24 μB per formula unit

The structure in CIF format:
```
data_SrCrNi
_chemical_formula_sum 'Sr4 Cr4 Ni4'
_cell_length_a 6.4632
_cell_length_b 6.4632
_cell_length_c 6.4632
_cell_angle_alpha 90.00
_cell_angle_beta 90.00
_cell_angle_gamma 90.00
_symmetry_space_group_name_H-M 'F -4 3 m'
_symmetry_Int_Tables_number 216
_symmetry_space_group_name_Hall 'F -4 2 3'
loop_
_atom_site_label
_atom_site_type_symbol
_atom_site_fract_x
_atom_site_fract_y
_atom_site_fract_z
Sr1 Sr 0.0000 0.0000 0.0000
Cr1 Cr 0.0000 0.0000 0.5000
Ni1 Ni 0.2500 0.2500 0.2500
```

---

(5)
Material: KScTe2
Method: DFT, PBEsol
State: relaxed

Properties
D(E_F): 0.00 states/eV/cell
DFT total energy: -4.721 eV per atom
Total magnetic moment: 0.00 μB per formula unit
Energy relative to the elements, uncorrected: -1024 meV/atom

The structure in CIF format:
```
data_KScTe2
_chemical_formula_sum 'K4 Sc4 Te8'
_cell_length_a 8.0255
_cell_length_b 8.0255
_cell_length_c 9.6134
_cell_angle_alpha 90.00
_cell_angle_beta 90.00
_cell_angle_gamma 90.00
_symmetry_space_group_name_H-M 'I -4 2 d'
_symmetry_Int_Tables_number 122
_symmetry_space_group_name_Hall 'I -4 2bw'
loop_
_atom_site_label
_atom_site_type_symbol
_atom_site_fract_x
_atom_site_fract_y
_atom_site_fract_z
K1 K 0.0000 0.0000 0.0000
Sc1 Sc 0.0000 0.0000 0.5000
Te1 Te 0.1835 0.2500 0.6250
```

---

(6)
Material: Zr2OsPt
Method: DFT, PBEsol
State: relaxed

Properties
D(E_F): 7.37 states/eV/cell
DFT total energy: -9.867 eV per atom
Energy of formation: -0.527 eV per atom
Total magnetic moment: 0.00 μB per formula unit

The structure in CIF format:
```
data_Zr2OsPt
_chemical_formula_sum 'Zr4 Os2 Pt2'
_cell_length_a 3.9638
_cell_length_b 3.9638
_cell_length_c 8.8554
_cell_angle_alpha 90.00
_cell_angle_beta 90.00
_cell_angle_gamma 90.00
_symmetry_space_group_name_H-M 'I -4 m 2'
_symmetry_Int_Tables_number 119
_symmetry_space_group_name_Hall 'I -4 -2'
loop_
_atom_site_label
_atom_site_type_symbol
_atom_site_fract_x
_atom_site_fract_y
_atom_site_fract_z
Zr1 Zr 0.0000 0.0000 0.0000
Zr2 Zr 0.0000 0.5000 0.2500
Os1 Os 0.0000 0.0000 0.5000
Pt1 Pt 0.0000 0.5000 0.7500
```

---

(7)
Material: ScFeBr2
Method: DFT, PBEsol
State: relaxed

Properties
D(E_F): 1.77 states/eV/cell
DFT total energy: -5.222 eV per atom
Total magnetic moment: 1.01 μB per formula unit
Energy relative to the elements, uncorrected: -395 meV/atom

The structure in CIF format:
```
data_ScFeBr2
_chemical_formula_sum 'Sc2 Fe2 Br4'
_cell_length_a 9.0162
_cell_length_b 3.4328
_cell_length_c 5.9864
_cell_angle_alpha 90.00
_cell_angle_beta 92.81
_cell_angle_gamma 90.00
_symmetry_space_group_name_H-M 'C 1 m 1'
_symmetry_Int_Tables_number 8
_symmetry_space_group_name_Hall 'C -2y'
loop_
_atom_site_label
_atom_site_type_symbol
_atom_site_fract_x
_atom_site_fract_y
_atom_site_fract_z
Sc1 Sc 0.0000 0.0000 0.0000
Fe1 Fe 0.2986 0.0000 0.9262
Br1 Br 0.2195 0.5000 0.1914
Br2 Br 0.4649 0.0000 0.6443
```

---

(8)
Material: Si4BiO10
Method: DFT, PBEsol
State: relaxed

Properties
D(E_F): 28.75 states/eV/cell
DFT total energy: -7.615 eV per atom
Total magnetic moment: 1.10 μB per formula unit
Energy relative to the elements, uncorrected: -2297 meV/atom

The structure in CIF format:
```
data_Si4BiO10
_chemical_formula_sum 'Si16 Bi4 O40'
_cell_length_a 7.4583
_cell_length_b 7.4583
_cell_length_c 16.1745
_cell_angle_alpha 90.00
_cell_angle_beta 90.00
_cell_angle_gamma 90.00
_symmetry_space_group_name_H-M 'P 4/n c c'
_symmetry_Int_Tables_number 130
loop_
_symmetry_equiv_pos_as_xyz
'x,y,z'
'-x,-y,-z'
'-y+1/2,x,z'
'y+1/2,-x,-z'
'-x+1/2,-y+1/2,z'
'x+1/2,y+1/2,-z'
'y,-x+1/2,z'
'-y,x+1/2,-z'
'x+1/2,-y,-z+1/2'
'-x+1/2,y,z+1/2'
'-y,-x,-z+1/2'
'y,x,z+1/2'
'-x,y+1/2,-z+1/2'
'x,-y+1/2,z+1/2'
'y+1/2,x+1/2,-z+1/2'
'-y+1/2,-x+1/2,z+1/2'
loop_
_atom_site_label
_atom_site_type_symbol
_atom_site_fract_x
_atom_site_fract_y
_atom_site_fract_z
Si1 Si 0.0061 0.0769 0.1539
Bi1 Bi 0.2500 0.2500 0.4631
O1 O 0.0053 0.2081 0.6347
O2 O 0.0128 0.1392 0.4071
O3 O 0.0440 0.5440 0.2500
```

---

(9)
Material: ReMoW2
Method: DFT, PBEsol
State: relaxed

Properties
D(E_F): 2.87 states/eV/cell
DFT total energy: -13.133 eV per atom
Energy of formation: 0.046 eV per atom
Total magnetic moment: 0.00 μB per formula unit

The structure in CIF format:
```
data_ReMoW2
_chemical_formula_sum 'Re1 Mo1 W2'
_cell_length_a 3.1254
_cell_length_b 4.4138
_cell_length_c 4.4390
_cell_angle_alpha 90.00
_cell_angle_beta 90.00
_cell_angle_gamma 90.00
_symmetry_space_group_name_H-M 'P m m m'
_symmetry_Int_Tables_number 47
_symmetry_space_group_name_Hall '-P 2 2'
loop_
_atom_site_label
_atom_site_type_symbol
_atom_site_fract_x
_atom_site_fract_y
_atom_site_fract_z
Re1 Re 0.0000 0.0000 0.0000
Mo1 Mo 0.5000 0.0000 0.5000
W1 W 0.0000 0.5000 0.5000
W2 W 0.5000 0.5000 0.0000
```

---

(10)
Material: Tl2GaPdAu
Method: DFT, PBEsol
State: relaxed

Properties
D(E_F): 2.70 states/eV/cell
DFT total energy: -3.170 eV per atom
Energy of formation: 0.527 eV per atom
Total magnetic moment: 0.00 μB per formula unit

The structure in CIF format:
```
data_Tl2GaPdAu
_chemical_formula_sum 'Tl2 Ga1 Pd1 Au1'
_cell_length_a 5.3297
_cell_length_b 5.3297
_cell_length_c 4.7428
_cell_angle_alpha 90.00
_cell_angle_beta 90.00
_cell_angle_gamma 90.00
_symmetry_space_group_name_H-M 'P 4/m m m'
_symmetry_Int_Tables_number 123
_symmetry_space_group_name_Hall '-P 4 2'
loop_
_atom_site_label
_atom_site_type_symbol
_atom_site_fract_x
_atom_site_fract_y
_atom_site_fract_z
Tl1 Tl 0.0000 0.5000 0.0000
Ga1 Ga 0.0000 0.0000 0.5000
Pd1 Pd 0.5000 0.5000 0.5000
Au1 Au 0.0000 0.0000 0.0000
```

---

(11)
Material: YCoAu4
Method: DFT, PBEsol
State: relaxed

Properties
D(E_F): 32.29 states/eV/cell
DFT total energy: -5.150 eV per atom
Energy of formation: -0.107 eV per atom
Total magnetic moment: 1.50 μB per formula unit

The structure in CIF format:
```
data_YCoAu4
_chemical_formula_sum 'Y4 Co4 Au16'
_cell_length_a 7.6069
_cell_length_b 7.6069
_cell_length_c 7.6069
_cell_angle_alpha 90.00
_cell_angle_beta 90.00
_cell_angle_gamma 90.00
_symmetry_space_group_name_H-M 'F -4 3 m'
_symmetry_Int_Tables_number 216
_symmetry_space_group_name_Hall 'F -4 2 3'
loop_
_atom_site_label
_atom_site_type_symbol
_atom_site_fract_x
_atom_site_fract_y
_atom_site_fract_z
Y1 Y 0.0000 0.0000 0.0000
Co1 Co 0.2500 0.2500 0.7500
Au1 Au 0.1244 0.1244 0.3756
```

---

(12)
Material: CaMg2Pt
Method: DFT, PBEsol
State: relaxed

Properties
D(E_F): 4.63 states/eV/cell
DFT total energy: -3.254 eV per atom
Energy of formation: -0.121 eV per atom
Total magnetic moment: 0.00 μB per formula unit

The structure in CIF format:
```
data_CaMg2Pt
_chemical_formula_sum 'Ca2 Mg4 Pt2'
_cell_length_a 5.7268
_cell_length_b 9.4265
_cell_length_c 3.0335
_cell_angle_alpha 90.00
_cell_angle_beta 90.00
_cell_angle_gamma 90.00
_symmetry_space_group_name_H-M 'C m m m'
_symmetry_Int_Tables_number 65
_symmetry_space_group_name_Hall '-C 2 2'
loop_
_atom_site_label
_atom_site_type_symbol
_atom_site_fract_x
_atom_site_fract_y
_atom_site_fract_z
Ca1 Ca 0.0000 0.0000 0.0000
Mg1 Mg 0.2500 0.2500 0.5000
Pt1 Pt 0.0000 0.5000 0.0000
```